[1]
Density functional theory data (PBE-GGA) for a relaxed structure of Pm2PrC3.

```
Pm2PrC3
1.0
-4.1985 -3.9263 -1.4683
1.8764 -6.9102 1.1262
-3.2634 -3.1146 5.6736
Pm Pr C
4 2 6
Direct
0.0757 0.0899 0.7588
0.5757 0.2588 0.5899
0.4243 0.7412 0.4101
0.9243 0.9101 0.2412
0.7500 0.7190 0.7810
0.2500 0.2810 0.2190
0.3865 0.0000 0.0000
0.6135 0.0000 0.0000
0.1135 0.5000 0.5000
0.0000 0.0000 0.5000
0.5000 0.0000 0.5000
0.8865 0.5000 0.5000
```

final energy: -41.8 eV per formula unit
total magnetic moment: 0.0 Bohr magnetons per cell
density of states at the Fermi level: 6.483 states/eV/cell
space group: Imma, No. 74
energy of formation from the pure elements: 0.03 eV per atom

=====

[2]
Density functional theory data (PBE-GGA) for a relaxed structure of BeGaNiPd2.

```
BeGaNiPd2
1.0
4.5841 0.0000 0.0000
0.0000 4.1368 0.0000
0.0000 0.0000 4.5841
Ni Ga Pd Be
1 1 2 1
Direct
0.5000 0.5000 0.5000
0.0000 0.0000 0.0000
0.0000 0.0000 0.5000
0.5000 0.0000 0.0000
0.0000 0.5000 0.0000
```

final energy: -19.2 eV per formula unit
total magnetic moment: 0.8 Bohr magnetons per cell
density of states at the Fermi level: 4.566 states/eV/cell
space group: P4/mmm, No. 123
energy of formation from the pure elements: 0.74 eV per atom

=====

> Which of these has the lowest density of states at the Fermi level?

BeGaNiPd2